Compound: MoPbO3
Source: the Alexandria database
Functional: PBE+U
Structure: optimized geometry

a b c (Å): 6.358 7.224 7.223
angles (deg): 109.79 90.00 90.00
Positions (direct):
1 Mo 0.250 0.345 0.155
2 Mo 0.750 0.655 0.845
3 Mo 0.750 0.155 0.345
4 Mo 0.250 0.845 0.655
5 Pb 0.786 0.637 0.363
6 Pb 0.214 0.363 0.637
7 Pb 0.286 0.863 0.137
8 Pb 0.714 0.137 0.863
9 O 0.000 0.195 0.195
10 O 0.000 0.805 0.805
11 O 0.500 0.305 0.305
12 O 0.500 0.695 0.695
13 O 0.159 0.602 0.398
14 O 0.841 0.398 0.602
15 O 0.659 0.898 0.102
16 O 0.341 0.102 0.898
17 O 0.750 0.994 0.506
18 O 0.250 0.006 0.494
19 O 0.250 0.506 0.994
20 O 0.750 0.494 0.006

Symmetry   No. 64
Density of states at the Fermi level   0.58 states/eV per cell
Calculated total energy   -0.2362 hartree per atom

Compound: Mo6Pb4O19
Source: the Alexandria database
Functional: PBE+U
Structure: optimized geometry

a b c (Å): 8.279 8.279 8.279
angles (deg): 109.47 109.47 109.47
Positions (direct):
1 Mo 0.342 0.500 0.842
2 Mo 0.658 0.500 0.158
3 Mo 0.158 0.658 0.500
4 Mo 0.842 0.342 0.500
5 Mo 0.500 0.842 0.342
6 Mo 0.500 0.158 0.658
7 Pb 0.000 0.000 0.709
8 Pb 0.000 0.709 0.000
9 Pb 0.291 0.291 0.291
10 Pb 0.709 0.000 0.000
11 O 0.643 0.000 0.643
12 O 0.357 0.000 0.357
13 O 0.357 0.357 0.000
14 O 0.643 0.643 0.000
15 O 0.000 0.643 0.643
16 O 0.000 0.357 0.357
17 O 0.000 0.000 0.000
18 O 0.339 0.299 0.638
19 O 0.661 0.299 0.960
20 O 0.661 0.701 0.362
21 O 0.960 0.661 0.299
22 O 0.339 0.701 0.040
23 O 0.638 0.339 0.299
24 O 0.040 0.339 0.701
25 O 0.362 0.661 0.701
26 O 0.701 0.040 0.339
27 O 0.299 0.960 0.661
28 O 0.299 0.638 0.339
29 O 0.701 0.362 0.661

Symmetry   No. 197
Calculated total energy   -0.2473 hartree per atom

Compound: MoPb2O6
Source: the Alexandria database
Functional: PBE+U
Structure: optimized geometry

a b c (Å): 5.696 6.502 6.507
angles (deg): 128.09 64.10 90.01
Positions (direct):
1 Mo 0.000 0.999 0.001
2 Pb 0.197 0.198 0.606
3 Pb 0.703 0.703 0.594
4 O 0.847 0.044 0.786
5 O 0.702 0.264 0.421
6 O 0.877 0.702 0.859
7 O 0.264 0.876 0.034
8 O 0.367 0.847 0.590
9 O 0.043 0.368 0.110

Symmetry   No. 1
Excess energy over the best structure of this formula in the dataset   0.00 eV/f.u.
Calculated total energy   -0.2253 hartree per atom

Compound: MoPbO3
Source: the Alexandria database
Functional: PBE+U
Structure: optimized geometry

a b c (Å): 5.774 5.780 8.238
angles (deg): 90.00 90.00 90.00
Positions (direct):
1 Mo 0.000 0.500 0.000
2 Mo 0.500 0.000 0.500
3 Mo 0.500 0.000 0.000
4 Mo 0.000 0.500 0.500
5 Pb 0.484 0.501 0.750
6 Pb 0.016 0.001 0.250
7 Pb 0.516 0.499 0.250
8 Pb 0.984 0.999 0.750
9 O 0.779 0.211 0.033
10 O 0.721 0.711 0.533
11 O 0.721 0.711 0.967
12 O 0.221 0.789 0.533
13 O 0.221 0.789 0.967
14 O 0.279 0.289 0.467
15 O 0.279 0.289 0.033
16 O 0.779 0.211 0.467
17 O 0.516 0.062 0.750
18 O 0.984 0.562 0.250
19 O 0.484 0.938 0.250
20 O 0.016 0.438 0.750

Symmetry   No. 62
Calculated total energy   -0.2419 hartree per atom

Compound: Mo3PbO
Source: the Alexandria database
Functional: PBE+U
Structure: optimized geometry

a b c (Å): 4.314 4.314 4.314
angles (deg): 90.00 90.00 90.00
Positions (direct):
1 Pb 0.500 0.500 0.500
2 Mo 0.000 0.500 0.000
3 Mo 0.000 0.000 0.500
4 Mo 0.500 0.000 0.000
5 O 0.000 0.000 0.000

Symmetry   No. 221
Density of states at the Fermi level   3.47 states/eV per cell
Excess energy over the best structure of this formula in the dataset   0.00 eV/f.u.
Calculated total energy   -0.1908 hartree per atom

Compound: MoPb2O5
Source: the Alexandria database
Functional: PBE+U
Structure: optimized geometry

a b c (Å): 5.774 7.401 7.406
angles (deg): 68.28 67.06 67.04
Positions (direct):
1 Mo 0.927 0.819 0.276
2 Mo 0.977 0.319 0.776
3 Pb 0.616 0.494 0.298
4 Pb 0.268 0.068 0.341
5 Pb 0.593 0.994 0.798
6 Pb 0.322 0.568 0.841
7 O 0.717 0.298 0.689
8 O 0.014 0.584 0.181
9 O 0.193 0.262 0.945
10 O 0.296 0.798 0.189
11 O 0.221 0.084 0.681
12 O 0.600 0.762 0.445
13 O 0.686 0.472 0.958
14 O 0.884 0.972 0.458
15 O 0.813 0.020 0.077
16 O 0.090 0.520 0.577

Symmetry   No. 9
Density of states at the Fermi level   0.00 states/eV per cell
Excess energy over the best structure of this formula in the dataset   0.40 eV/f.u.
Calculated total energy   -0.2325 hartree per atom

Compound: MoPb2O5
Source: the Alexandria database
Functional: PBE+U
Structure: optimized geometry

a b c (Å): 7.783 7.783 7.510
angles (deg): 69.87 69.87 44.82
Positions (direct):
1 Mo 0.172 0.172 0.344
2 Mo 0.828 0.828 0.656
3 Pb 0.490 0.490 0.249
4 Pb 0.510 0.510 0.751
5 Pb 0.865 0.865 0.106
6 Pb 0.135 0.135 0.894
7 O 0.253 0.747 0.000
8 O 0.747 0.253 0.000
9 O 0.304 0.304 0.304
10 O 0.696 0.696 0.696
11 O 0.096 0.613 0.772
12 O 0.387 0.904 0.228
13 O 0.097 0.097 0.600
14 O 0.903 0.903 0.400
15 O 0.613 0.096 0.772
16 O 0.904 0.387 0.228

Symmetry   No. 12
Density of states at the Fermi level   0.00 states/eV per cell
Excess energy over the best structure of this formula in the dataset   0.00 eV/f.u.
Calculated total energy   -0.2344 hartree per atom

Compound: MoPbO3
Source: the Alexandria database
Functional: PBE+U
Structure: optimized geometry

a b c (Å): 4.203 4.203 4.203
angles (deg): 90.00 90.00 90.00
Positions (direct):
1 Pb 0.000 0.000 0.000
2 Mo 0.500 0.500 0.500
3 O 0.000 0.500 0.000
4 O 0.000 0.000 0.500
5 O 0.500 0.000 0.000

Symmetry   No. 221
Density of states at the Fermi level   5.09 states/eV per cell
Calculated total energy   -0.1929 hartree per atom

Compound: Mo2PbO
Source: the Alexandria database
Functional: PBE+U
Structure: optimized geometry

a b c (Å): 4.531 4.531 4.531
angles (deg): 60.00 60.00 60.00
Positions (direct):
1 Pb 0.500 0.500 0.500
2 Mo 0.250 0.250 0.250
3 Mo 0.750 0.750 0.750
4 O 0.000 0.000 0.000

Symmetry   No. 225
Density of states at the Fermi level   4.72 states/eV per cell
Excess energy over the best structure of this formula in the dataset   4.94 eV/f.u.
Calculated total energy   -0.1544 hartree per atom

Compound: MoPb2O6
Source: the Alexandria database
Functional: PBE+U
Structure: optimized geometry

a b c (Å): 5.074 5.074 10.226
angles (deg): 90.00 90.00 90.00
Positions (direct):
1 Mo 0.000 0.000 0.000
2 Mo 0.500 0.500 0.500
3 Pb 0.000 0.000 0.335
4 Pb 0.500 0.500 0.835
5 Pb 0.500 0.500 0.165
6 Pb 0.000 0.000 0.665
7 O 0.320 0.320 0.356
8 O 0.680 0.680 0.356
9 O 0.180 0.820 0.856
10 O 0.820 0.180 0.856
11 O 0.180 0.820 0.144
12 O 0.820 0.180 0.144
13 O 0.320 0.320 0.644
14 O 0.680 0.680 0.644
15 O 0.278 0.278 0.000
16 O 0.722 0.722 0.000
17 O 0.222 0.778 0.500
18 O 0.778 0.222 0.500

Symmetry   No. 136
Density of states at the Fermi level   5.35 states/eV per cell
Excess energy over the best structure of this formula in the dataset   0.44 eV/f.u.
Calculated total energy   -0.2235 hartree per atom

Compound: Mo2PbO2
Source: the Alexandria database
Functional: PBE+U
Structure: optimized geometry

a b c (Å): 7.504 7.504 2.856
angles (deg): 90.00 90.00 90.00
Positions (direct):
1 Pb 0.000 0.000 0.000
2 Pb 0.500 0.500 0.000
3 Mo 0.121 0.621 0.500
4 Mo 0.621 0.879 0.500
5 Mo 0.879 0.379 0.500
6 Mo 0.379 0.121 0.500
7 O 0.388 0.888 0.000
8 O 0.888 0.612 0.000
9 O 0.612 0.112 0.000
10 O 0.112 0.388 0.000

Symmetry   No. 127
Density of states at the Fermi level   4.11 states/eV per cell
Excess energy over the best structure of this formula in the dataset   0.86 eV/f.u.
Calculated total energy   -0.1920 hartree per atom

Compound: Mo2PbO2
Source: the Alexandria database
Functional: PBE+U
Structure: optimized geometry

a b c (Å): 3.703 3.703 6.656
angles (deg): 73.85 73.85 90.00
Positions (direct):
1 Pb 0.000 0.000 0.000
2 Mo 0.750 0.250 0.500
3 Mo 0.250 0.750 0.500
4 O 0.350 0.350 0.301
5 O 0.650 0.650 0.699

Symmetry   No. 139
Density of states at the Fermi level   2.72 states/eV per cell
Excess energy over the best structure of this formula in the dataset   0.00 eV/f.u.
Calculated total energy   -0.1984 hartree per atom